! KTe5Os3 (PBE-GGA, relaxed); values from VASP
&SYSTEM
  ibrav = 0, nat = 9, ntyp = 3
/
ATOMIC_SPECIES
K 39.10 K.upf
Te 127.60 Te.upf
Os 190.23 Os.upf
ATOMIC_POSITIONS crystal
K 0.000 0.000 0.000
Te 0.000 0.000 0.500
Te 0.333 0.667 0.252
Te 0.333 0.667 0.748
Te 0.667 0.333 0.252
Te 0.667 0.333 0.748
Os 0.000 0.500 0.500
Os 0.500 0.000 0.500
Os 0.500 0.500 0.500
CELL_PARAMETERS angstrom
6.058 0.000 0.000
-3.029 5.246 0.000
0.000 0.000 8.011
! E_tot: -5.447 eV/atom
! SG: No. 191


! KThOs (PBE-GGA, relaxed); values from VASP
&SYSTEM
  ibrav = 0, nat = 12, ntyp = 3
/
ATOMIC_SPECIES
K 39.10 K.upf
Th 232.04 Th.upf
Os 190.23 Os.upf
ATOMIC_POSITIONS crystal
K 0.000 0.000 0.000
K 0.000 0.500 0.500
K 0.500 0.000 0.500
K 0.500 0.500 0.000
Th 0.000 0.000 0.500
Th 0.000 0.500 0.000
Th 0.500 0.000 0.000
Th 0.500 0.500 0.500
Os 0.250 0.250 0.250
Os 0.250 0.750 0.750
Os 0.750 0.250 0.750
Os 0.750 0.750 0.250
CELL_PARAMETERS angstrom
6.967 0.000 0.000
0.000 6.967 0.000
0.000 0.000 6.967
! distance to the lowest polymorph of the same formula: 0.0 meV/atom
! SG: No. 216


! KTmOs (PBE-GGA, relaxed); values from VASP
&SYSTEM
  ibrav = 0, nat = 12, ntyp = 3
/
ATOMIC_SPECIES
K 39.10 K.upf
Tm 168.93 Tm.upf
Os 190.23 Os.upf
ATOMIC_POSITIONS crystal
K 0.000 0.000 0.000
K 0.000 0.500 0.500
K 0.500 0.000 0.500
K 0.500 0.500 0.000
Tm 0.000 0.000 0.500
Tm 0.000 0.500 0.000
Tm 0.500 0.000 0.000
Tm 0.500 0.500 0.500
Os 0.250 0.250 0.250
Os 0.250 0.750 0.750
Os 0.750 0.250 0.750
Os 0.750 0.750 0.250
CELL_PARAMETERS angstrom
6.863 0.000 0.000
0.000 6.863 0.000
0.000 0.000 6.863
! distance to the lowest polymorph of the same formula: 0.0 meV/atom
! SG: No. 216


! KUOs (PBE-GGA, relaxed); values from VASP
&SYSTEM
  ibrav = 0, nat = 12, ntyp = 3
/
ATOMIC_SPECIES
K 39.10 K.upf
U 238.03 U.upf
Os 190.23 Os.upf
ATOMIC_POSITIONS crystal
K 0.000 0.000 0.000
K 0.000 0.500 0.500
K 0.500 0.000 0.500
K 0.500 0.500 0.000
U 0.000 0.000 0.500
U 0.000 0.500 0.000
U 0.500 0.000 0.000
U 0.500 0.500 0.500
Os 0.250 0.250 0.250
Os 0.250 0.750 0.750
Os 0.750 0.250 0.750
Os 0.750 0.750 0.250
CELL_PARAMETERS angstrom
6.789 0.000 0.000
0.000 6.789 0.000
0.000 0.000 6.789
! distance to the lowest polymorph of the same formula: 0.0 meV/atom
! SG: No. 216


! KZnOs (PBE-GGA, relaxed); values from VASP
&SYSTEM
  ibrav = 0, nat = 12, ntyp = 3
/
ATOMIC_SPECIES
K 39.10 K.upf
Zn 65.41 Zn.upf
Os 190.23 Os.upf
ATOMIC_POSITIONS crystal
K 0.000 0.000 0.000
K 0.000 0.500 0.500
K 0.500 0.000 0.500
K 0.500 0.500 0.000
Zn 0.250 0.250 0.250
Zn 0.250 0.750 0.750
Zn 0.750 0.250 0.750
Zn 0.750 0.750 0.250
Os 0.250 0.250 0.750
Os 0.250 0.750 0.250
Os 0.750 0.250 0.250
Os 0.750 0.750 0.750
CELL_PARAMETERS angstrom
7.159 0.000 0.000
0.000 7.159 0.000
0.000 0.000 7.159
! distance to the lowest polymorph of the same formula: 576.4 meV/atom
! SG: No. 216


! KPPd (PBE-GGA, relaxed); values from VASP
&SYSTEM
  ibrav = 0, nat = 12, ntyp = 3
/
ATOMIC_SPECIES
K 39.10 K.upf
P 30.97 P.upf
Pd 106.42 Pd.upf
ATOMIC_POSITIONS crystal
K 0.165 0.125 0.359
K 0.165 0.375 0.859
K 0.835 0.625 0.141
K 0.835 0.875 0.641
P 0.313 0.648 0.576
P 0.313 0.852 0.076
P 0.687 0.148 0.924
P 0.687 0.352 0.424
Pd 0.427 0.618 0.330
Pd 0.427 0.882 0.830
Pd 0.573 0.118 0.170
Pd 0.573 0.382 0.670
CELL_PARAMETERS angstrom
6.762 0.000 0.000
0.000 6.542 0.000
-3.446 0.000 6.804
! E_tot: -4.400 eV/atom
! SG: No. 14


! K4P2PdPt (PBE-GGA, relaxed); values from VASP
&SYSTEM
  ibrav = 0, nat = 16, ntyp = 4
/
ATOMIC_SPECIES
K 39.10 K.upf
P 30.97 P.upf
Pd 106.42 Pd.upf
Pt 195.08 Pt.upf
ATOMIC_POSITIONS crystal
K 0.149 0.172 0.250
K 0.149 0.828 0.250
K 0.351 0.328 0.750
K 0.351 0.672 0.750
K 0.649 0.328 0.250
K 0.649 0.672 0.250
K 0.851 0.172 0.750
K 0.851 0.828 0.750
P 0.245 0.500 0.247
P 0.255 0.000 0.753
P 0.745 0.000 0.247
P 0.755 0.500 0.753
Pd 0.000 0.500 0.500
Pd 0.500 0.000 0.500
Pt 0.000 0.500 0.000
Pt 0.500 0.000 0.000
CELL_PARAMETERS angstrom
7.553 0.000 0.000
0.000 9.824 0.000
-0.078 0.000 5.788
! E_tot: -3.747 eV/atom
! SG: No. 12


! KRb2P2Pd3 (PBE-GGA, relaxed); values from VASP
&SYSTEM
  ibrav = 0, nat = 8, ntyp = 4
/
ATOMIC_SPECIES
K 39.10 K.upf
Rb 85.47 Rb.upf
P 30.97 P.upf
Pd 106.42 Pd.upf
ATOMIC_POSITIONS crystal
K 0.000 0.000 0.000
Rb 0.410 0.410 0.410
Rb 0.590 0.590 0.590
P 0.245 0.245 0.245
P 0.755 0.755 0.755
Pd 0.000 0.000 0.500
Pd 0.000 0.500 0.000
Pd 0.500 0.000 0.000
CELL_PARAMETERS angstrom
2.945 1.700 6.945
-2.945 1.700 6.945
0.000 -3.400 6.945
! E_tot: -4.063 eV/atom
! SG: No. 166


! KPPdS4 (PBE-GGA, relaxed); values from VASP
&SYSTEM
  ibrav = 0, nat = 14, ntyp = 4
/
ATOMIC_SPECIES
K 39.10 K.upf
P 30.97 P.upf
Pd 106.42 Pd.upf
S 32.06 S.upf
ATOMIC_POSITIONS crystal
K 0.250 0.250 0.000
K 0.750 0.750 0.000
P 0.250 0.750 0.500
P 0.750 0.250 0.500
Pd 0.000 0.500 0.500
Pd 0.500 0.000 0.500
S 0.004 0.504 0.224
S 0.221 0.996 0.500
S 0.279 0.779 0.776
S 0.496 0.721 0.500
S 0.504 0.279 0.500
S 0.721 0.221 0.224
S 0.779 0.004 0.500
S 0.996 0.496 0.776
CELL_PARAMETERS angstrom
-4.003 4.003 6.206
4.003 -4.003 6.206
4.003 4.003 -6.206
! E_tot: -4.675 eV/atom
! SG: No. 140


! K2P2PdS6 (PBE-GGA, relaxed); values from VASP
&SYSTEM
  ibrav = 0, nat = 44, ntyp = 4
/
ATOMIC_SPECIES
K 39.10 K.upf
P 30.97 P.upf
Pd 106.42 Pd.upf
S 32.06 S.upf
ATOMIC_POSITIONS crystal
K 0.119 0.250 0.065
K 0.183 0.250 0.587
K 0.317 0.750 0.087
K 0.381 0.750 0.565
K 0.619 0.250 0.435
K 0.683 0.250 0.913
K 0.817 0.750 0.413
K 0.881 0.750 0.935
P 0.056 0.750 0.217
P 0.169 0.750 0.350
P 0.331 0.250 0.850
P 0.444 0.250 0.717
P 0.556 0.750 0.283
P 0.669 0.750 0.150
P 0.831 0.250 0.650
P 0.944 0.250 0.783
Pd 0.000 0.000 0.500
Pd 0.000 0.500 0.500
Pd 0.500 0.000 0.000
Pd 0.500 0.500 0.000
S 0.008 0.011 0.732
S 0.008 0.489 0.732
S 0.090 0.750 0.030
S 0.096 0.750 0.528
S 0.234 0.514 0.333
S 0.234 0.986 0.333
S 0.266 0.014 0.833
S 0.266 0.486 0.833
S 0.404 0.250 0.028
S 0.410 0.250 0.530
S 0.492 0.511 0.232
S 0.492 0.989 0.232
S 0.508 0.011 0.768
S 0.508 0.489 0.768
S 0.590 0.750 0.470
S 0.596 0.750 0.972
S 0.734 0.514 0.167
S 0.734 0.986 0.167
S 0.766 0.014 0.667
S 0.766 0.486 0.667
S 0.904 0.250 0.472
S 0.910 0.250 0.970
S 0.992 0.511 0.268
S 0.992 0.989 0.268
CELL_PARAMETERS angstrom
15.752 0.000 0.000
0.000 7.171 0.000
0.000 0.000 10.190
! E_tot: -4.593 eV/atom
! SG: No. 62


! K4P2PdSe8 (PBE-GGA, relaxed); values from VASP
&SYSTEM
  ibrav = 0, nat = 15, ntyp = 4
/
ATOMIC_SPECIES
K 39.10 K.upf
P 30.97 P.upf
Pd 106.42 Pd.upf
Se 78.96 Se.upf
ATOMIC_POSITIONS crystal
K 0.228 0.150 0.366
K 0.250 0.720 0.976
K 0.750 0.280 0.024
K 0.772 0.850 0.634
P 0.322 0.229 0.760
P 0.678 0.771 0.240
Pd 0.500 0.500 0.500
Se 0.169 0.457 0.634
Se 0.254 0.246 0.984
Se 0.269 0.955 0.685
Se 0.359 0.687 0.310
Se 0.641 0.313 0.690
Se 0.731 0.045 0.315
Se 0.746 0.754 0.016
Se 0.831 0.543 0.366
CELL_PARAMETERS angstrom
6.679 0.000 0.000
0.369 7.218 0.000
0.904 0.349 9.717
! E_tot: -3.944 eV/atom
! SG: No. 2


! KPPdSe4 (PBE-GGA, relaxed); values from VASP
&SYSTEM
  ibrav = 0, nat = 14, ntyp = 4
/
ATOMIC_SPECIES
K 39.10 K.upf
P 30.97 P.upf
Pd 106.42 Pd.upf
Se 78.96 Se.upf
ATOMIC_POSITIONS crystal
K 0.250 0.250 0.000
K 0.750 0.750 0.000
P 0.250 0.750 0.500
P 0.750 0.250 0.500
Pd 0.000 0.500 0.500
Pd 0.500 0.000 0.500
Se 0.006 0.506 0.787
Se 0.219 0.006 0.500
Se 0.281 0.781 0.787
Se 0.494 0.281 0.500
Se 0.506 0.719 0.500
Se 0.719 0.219 0.213
Se 0.781 0.994 0.500
Se 0.994 0.494 0.213
CELL_PARAMETERS angstrom
-4.139 4.139 6.589
4.139 -4.139 6.589
4.139 4.139 -6.589
! E_tot: -4.189 eV/atom
! SG: No. 140


! KRbPr2P2 (PBE-GGA, relaxed); values from VASP
&SYSTEM
  ibrav = 0, nat = 6, ntyp = 4
/
ATOMIC_SPECIES
K 39.10 K.upf
Rb 85.47 Rb.upf
Pr 140.91 Pr.upf
P 30.97 P.upf
ATOMIC_POSITIONS crystal
K 0.000 0.000 0.000
Rb 0.500 0.500 0.210
Pr 0.000 0.500 0.606
Pr 0.500 0.000 0.606
P 0.000 0.000 0.433
P 0.500 0.500 0.765
CELL_PARAMETERS angstrom
5.267 0.000 0.000
0.000 5.267 0.000
0.000 0.000 7.672
! E_tot: -4.399 eV/atom
! SG: No. 99


! K2P2Pt (PBE-GGA, relaxed); values from VASP
&SYSTEM
  ibrav = 0, nat = 10, ntyp = 3
/
ATOMIC_SPECIES
K 39.10 K.upf
P 30.97 P.upf
Pt 195.08 Pt.upf
ATOMIC_POSITIONS crystal
K 0.176 0.324 0.000
K 0.324 0.824 0.000
K 0.676 0.176 0.000
K 0.824 0.676 0.000
P 0.130 0.630 0.500
P 0.370 0.130 0.500
P 0.630 0.870 0.500
P 0.870 0.370 0.500
Pt 0.000 0.000 0.500
Pt 0.500 0.500 0.500
CELL_PARAMETERS angstrom
6.231 0.000 0.000
0.000 6.231 0.000
0.000 0.000 5.455
! E_tot: -4.249 eV/atom
! SG: No. 127


! K5P2Pt (PBE-GGA, relaxed); values from VASP
&SYSTEM
  ibrav = 0, nat = 8, ntyp = 3
/
ATOMIC_SPECIES
K 39.10 K.upf
P 30.97 P.upf
Pt 195.08 Pt.upf
ATOMIC_POSITIONS crystal
K 0.000 0.000 0.000
K 0.137 0.137 0.137
K 0.280 0.280 0.280
K 0.720 0.720 0.720
K 0.863 0.863 0.863
P 0.411 0.411 0.411
P 0.589 0.589 0.589
Pt 0.500 0.500 0.500
CELL_PARAMETERS angstrom
2.815 1.626 8.752
-2.815 1.626 8.752
0.000 -3.251 8.752
! E_tot: -3.134 eV/atom
! SG: No. 166


! KRb2P2Pt3 (PBE-GGA, relaxed); values from VASP
&SYSTEM
  ibrav = 0, nat = 8, ntyp = 4
/
ATOMIC_SPECIES
K 39.10 K.upf
Rb 85.47 Rb.upf
P 30.97 P.upf
Pt 195.08 Pt.upf
ATOMIC_POSITIONS crystal
K 0.000 0.000 0.000
Rb 0.411 0.411 0.411
Rb 0.589 0.589 0.589
P 0.246 0.246 0.246
P 0.754 0.754 0.754
Pt 0.000 0.000 0.500
Pt 0.000 0.500 0.000
Pt 0.500 0.000 0.000
CELL_PARAMETERS angstrom
2.913 1.682 6.948
-2.913 1.682 6.948
0.000 -3.363 6.948
! E_tot: -4.463 eV/atom
! SG: No. 166


! KPPtSe5 (PBE-GGA, relaxed); values from VASP
&SYSTEM
  ibrav = 0, nat = 16, ntyp = 4
/
ATOMIC_SPECIES
K 39.10 K.upf
P 30.97 P.upf
Pt 195.08 Pt.upf
Se 78.96 Se.upf
ATOMIC_POSITIONS crystal
K 0.222 0.222 0.214
K 0.778 0.778 0.786
P 0.365 0.365 0.775
P 0.635 0.635 0.225
Pt 0.248 0.752 0.000
Pt 0.752 0.248 0.000
Se 0.064 0.064 0.861
Se 0.169 0.662 0.677
Se 0.251 0.251 0.730
Se 0.338 0.831 0.323
Se 0.421 0.421 0.101
Se 0.579 0.579 0.899
Se 0.662 0.169 0.677
Se 0.749 0.749 0.270
Se 0.831 0.338 0.323
Se 0.936 0.936 0.139
CELL_PARAMETERS angstrom
9.540 -3.789 0.000
9.540 3.789 0.000
-1.016 0.000 6.727
! E_tot: -4.182 eV/atom
! SG: No. 12


! KPuP2S7 (PBE-GGA, relaxed); values from VASP
&SYSTEM
  ibrav = 0, nat = 44, ntyp = 4
/
ATOMIC_SPECIES
K 39.10 K.upf
Pu 244.00 Pu.upf
P 30.97 P.upf
S 32.06 S.upf
ATOMIC_POSITIONS crystal
K 0.105 0.194 0.132
K 0.105 0.306 0.632
K 0.895 0.694 0.368
K 0.895 0.806 0.868
Pu 0.359 0.640 0.608
Pu 0.359 0.860 0.108
Pu 0.641 0.140 0.892
Pu 0.641 0.360 0.392
P 0.226 0.603 0.977
P 0.226 0.897 0.477
P 0.313 0.039 0.803
P 0.313 0.461 0.303
P 0.687 0.539 0.697
P 0.687 0.961 0.197
P 0.774 0.103 0.523
P 0.774 0.397 0.023
S 0.130 0.710 0.111
S 0.130 0.790 0.611
S 0.133 0.556 0.787
S 0.133 0.944 0.287
S 0.163 0.523 0.434
S 0.163 0.977 0.934
S 0.250 0.054 0.577
S 0.250 0.446 0.077
S 0.352 0.197 0.853
S 0.352 0.303 0.353
S 0.411 0.670 0.926
S 0.411 0.830 0.426
S 0.482 0.557 0.324
S 0.482 0.943 0.824
S 0.518 0.057 0.176
S 0.518 0.443 0.676
S 0.589 0.170 0.574
S 0.589 0.330 0.074
S 0.648 0.697 0.647
S 0.648 0.803 0.147
S 0.750 0.554 0.923
S 0.750 0.946 0.423
S 0.837 0.023 0.066
S 0.837 0.477 0.566
S 0.867 0.056 0.713
S 0.867 0.444 0.213
S 0.870 0.210 0.389
S 0.870 0.290 0.889
CELL_PARAMETERS angstrom
9.737 0.000 0.000
0.000 12.323 0.000
-0.032 0.000 9.023
! E_tot: -5.797 eV/atom
! SG: No. 14


! KRbTm2P2 (PBE-GGA, relaxed); values from VASP
&SYSTEM
  ibrav = 0, nat = 6, ntyp = 4
/
ATOMIC_SPECIES
K 39.10 K.upf
Rb 85.47 Rb.upf
Tm 168.93 Tm.upf
P 30.97 P.upf
ATOMIC_POSITIONS crystal
K 0.000 0.000 0.000
Rb 0.500 0.500 0.241
Tm 0.000 0.500 0.626
Tm 0.500 0.000 0.626
P 0.000 0.000 0.455
P 0.500 0.500 0.790
CELL_PARAMETERS angstrom
4.868 0.000 0.000
0.000 4.868 0.000
0.000 0.000 7.894
! E_tot: -4.325 eV/atom
! SG: No. 99


! K2Rb2ZnP2 (PBE-GGA, relaxed); values from VASP
&SYSTEM
  ibrav = 0, nat = 7, ntyp = 4
/
ATOMIC_SPECIES
K 39.10 K.upf
Rb 85.47 Rb.upf
Zn 65.41 Zn.upf
P 30.97 P.upf
ATOMIC_POSITIONS crystal
K 0.208 0.208 0.208
K 0.792 0.792 0.792
Rb 0.383 0.383 0.383
Rb 0.617 0.617 0.617
Zn 0.000 0.000 0.000
P 0.085 0.085 0.085
P 0.915 0.915 0.915
CELL_PARAMETERS angstrom
2.913 1.682 8.709
-2.913 1.682 8.709
0.000 -3.364 8.709
! distance to the lowest polymorph of the same formula: 7.6 meV/atom
! SG: No. 166